[1]
An optimized crystal structure of KNb2, computed with PBE.

Unit cell a=10.5635 b=10.5635 c=10.5635 alpha=90.00 beta=90.00 gamma=90.00
Space group Fd-3m (No. 227, origin choice 2)
Asymmetric unit:
K 0.1250 0.1250 0.1250 x8
Nb 0.0000 0.0000 0.0000 x16

Output
Total energy in eV per cell: -46.116
Calculated volume in Å³ per atom: 49.1

[2]
An optimized crystal structure of K2Nb, computed with PBE.

Unit cell a=9.9104 b=9.9104 c=9.9104 alpha=90.00 beta=90.00 gamma=90.00
Space group Fd-3m (No. 227, origin choice 2)
Asymmetric unit:
K 0.0000 0.0000 0.0000 x16
Nb 0.1250 0.1250 0.6250 x8

Output
Total energy in eV per cell: -57.654
Calculated volume in Å³ per atom: 40.6

[3]
An optimized crystal structure of K2Nb, computed with PBE.

Unit cell a=8.6509 b=8.6509 c=8.6509 alpha=90.00 beta=90.00 gamma=90.00
Space group Fm-3m (No. 225)
Asymmetric unit:
K 0.2500 0.2500 0.2500 x8
Nb 0.0000 0.0000 0.0000 x4

Output
Total energy in eV per cell: -29.673
Calculated volume in Å³ per atom: 54.0

[4]
An optimized crystal structure of KNb, computed with PBE.

Unit cell a=2.9784 b=2.9784 c=6.6202 alpha=90.00 beta=90.00 gamma=120.00
Space group P-6m2 (No. 187)
Asymmetric unit:
K 0.0000 0.0000 0.0000 x1
Nb 0.6667 0.3333 0.5000 x1

Output
Total energy in eV per cell: -8.665
Calculated volume in Å³ per atom: 25.4

[5]
An optimized crystal structure of KNb, computed with PBE.

Unit cell a=5.4709 b=5.4709 c=6.5413 alpha=90.00 beta=90.00 gamma=120.00
Space group P6_3/mmc (No. 194)
Asymmetric unit:
K 0.0000 0.0000 0.0000 x2
Nb 0.3333 0.6667 0.2500 x2

Output
Total energy in eV per cell: -11.800
Calculated volume in Å³ per atom: 42.4

[6]
An optimized crystal structure of KNb, computed with PBE.

Unit cell a=7.0833 b=7.0833 c=7.0833 alpha=90.00 beta=90.00 gamma=90.00
Space group Fm-3m (No. 225)
Asymmetric unit:
K 0.0000 0.0000 0.0000 x4
Nb 0.0000 0.0000 0.5000 x4

Output
Total energy in eV per cell: -23.873
Calculated volume in Å³ per atom: 44.4

[7]
An optimized crystal structure of KNb, computed with PBE.

Unit cell a=6.3812 b=6.3812 c=4.7015 alpha=90.00 beta=90.00 gamma=120.00
Space group P6_3/mmc (No. 194)
Asymmetric unit:
K 0.3333 0.6667 0.2500 x2
Nb 0.0000 0.0000 0.0000 x2

Output
Total energy in eV per cell: -16.378
Calculated volume in Å³ per atom: 41.4

[8]
An optimized crystal structure of K2Nb, computed with PBE.

Unit cell a=15.7772 b=15.7772 c=15.7772 alpha=90.00 beta=90.00 gamma=90.00
Space group Fd-3m (No. 227, origin choice 2)
Asymmetric unit:
K 0.0000 0.0000 0.0000 x16
Nb 0.1250 0.1250 0.1250 x8

Output
Total energy in eV per cell: -51.265
Calculated volume in Å³ per atom: 163.6

[9]
An optimized crystal structure of KNb, computed with PBE.

Unit cell a=8.0861 b=8.0861 c=8.0861 alpha=90.00 beta=90.00 gamma=90.00
Space group F-43m (No. 216)
Asymmetric unit:
K 0.0000 0.0000 0.0000 x4
Nb 0.2500 0.2500 0.7500 x4

Output
Total energy in eV per cell: -21.365
Calculated volume in Å³ per atom: 66.1

[10]
An optimized crystal structure of KNdNb, computed with PBE.

Unit cell a=7.8243 b=7.8243 c=7.8243 alpha=90.00 beta=90.00 gamma=90.00
Space group F-43m (No. 216)
Asymmetric unit:
K 0.0000 0.0000 0.0000 x4
Nd 0.0000 0.0000 0.5000 x4
Nb 0.2500 0.2500 0.2500 x4

Output
Total energy in eV per cell: -45.062
Calculated volume in Å³ per atom: 39.9

[11]
An optimized crystal structure of KNdNb2O7, computed with PBE.

Unit cell a=7.7894 b=20.7785 c=3.9388 alpha=90.00 beta=90.00 gamma=90.00
Space group Imm2 (No. 44)
Asymmetric unit:
K 0.0000 0.2442 0.0000 x4
Nd 0.0000 0.0000 0.0126 x2
Nd 0.0000 0.5000 0.4948 x2
Nb 0.2474 0.1066 0.5037 x8
O 0.0000 0.0704 0.5124 x4
O 0.0000 0.3860 0.0231 x4
O 0.1910 0.5000 0.0023 x4
O 0.1947 0.1906 0.4991 x8
O 0.2438 0.0837 0.0069 x8

Output
Total energy in eV per cell: -362.636
Calculated volume in Å³ per atom: 14.5

[12]
An optimized crystal structure of KNbNi, computed with PBE.

Unit cell a=6.3440 b=6.3440 c=6.3440 alpha=90.00 beta=90.00 gamma=90.00
Space group F-43m (No. 216)
Asymmetric unit:
K 0.0000 0.0000 0.0000 x4
Nb 0.2500 0.2500 0.7500 x4
Ni 0.2500 0.2500 0.2500 x4

Output
Total energy in eV per cell: -38.033
Calculated volume in Å³ per atom: 21.3

[13]
An optimized crystal structure of KNbNi, computed with PBE.

Unit cell a=6.4298 b=6.4298 c=6.4298 alpha=90.00 beta=90.00 gamma=90.00
Space group F-43m (No. 216)
Asymmetric unit:
K 0.0000 0.0000 0.0000 x4
Nb 0.0000 0.0000 0.5000 x4
Ni 0.2500 0.2500 0.2500 x4

Output
Total energy in eV per cell: -48.591
Calculated volume in Å³ per atom: 22.2

Respective total moment values: 2.16; 34.37; 20.34; 0.09; 9.16; 18.90; 0.04; 40.00; 20.32; 19.41; 0.01; 0.56; 6.32 Bohr magnetons per cell.